CsLiNiF6: optimized geometry, GGA+U.

Energy ... -3.9788 eV per atom
Total magnetic moment ... 0.000 μB per formula unit

Cell: 5.1961 5.1961 6.4753 Å, 90.00 90.00 120.00°
Space group P312 (No. 149)
Inequivalent atoms, fractional coordinates:
Cs (0.0000, 0.0000, 0.0000) [1 per cell]
Li (0.3333, 0.6667, 0.5000) [1 per cell]
Ni (0.6667, 0.3333, 0.5000) [1 per cell]
F (0.3927, 0.0388, 0.6598) [6 per cell]